Entry 1:
CdPb2AuN | PBE | optimized geometry

Results
* energy relative to the elements, uncorrected: 0.474 eV/atom
* final energy: -3.513 eV/atom
* space group: P4/mmm (123)
* crystal system: tetragonal
* total moment: 0.000 μB/atom

Unit cell a=5.444 b=5.444 c=4.057 alpha=90.00 beta=90.00 gamma=90.00
Element x y z (fractional)
Cd: 0.000 0.000 0.000
Pb: 0.000 0.500 0.500
Pb: 0.500 0.000 0.500
Au: 0.500 0.500 0.000
N: 0.500 0.500 0.500

Entry 2:
TlInSe2 | PBE | optimized geometry

Results
* energy relative to the elements, uncorrected: -0.527 eV/atom
* final energy: -3.546 eV/atom
* space group: I4/mcm (140)
* crystal system: tetragonal
* total moment: 0.000 μB/atom

Unit cell a=8.288 b=8.288 c=6.970 alpha=90.00 beta=90.00 gamma=90.00
Element x y z (fractional)
Tl: 0.000 0.000 0.250
Tl: 0.000 0.000 0.750
Tl: 0.500 0.500 0.250
Tl: 0.500 0.500 0.750
In: 0.000 0.500 0.250
In: 0.000 0.500 0.750
In: 0.500 0.000 0.250
In: 0.500 0.000 0.750
Se: 0.170 0.330 0.000
Se: 0.170 0.670 0.500
Se: 0.330 0.170 0.500
Se: 0.330 0.830 0.000
Se: 0.670 0.170 0.000
Se: 0.670 0.830 0.500
Se: 0.830 0.330 0.500
Se: 0.830 0.670 0.000

Entry 3:
LiMnSi4 | PBE | optimized geometry

Results
* energy relative to the elements, uncorrected: 0.214 eV/atom
* final energy: -5.248 eV/atom
* space group: F-43m (216)
* crystal system: cubic
* total moment: 0.653 μB/atom

Unit cell a=4.993 b=4.993 c=4.993 alpha=60.00 beta=60.00 gamma=60.00
Element x y z (fractional)
Li: 0.000 0.000 0.000
Mn: 0.750 0.750 0.750
Si: 0.375 0.375 0.375
Si: 0.375 0.375 0.876
Si: 0.375 0.876 0.375
Si: 0.876 0.375 0.375

Question: Look up the energy relative to the elements, uncorrected of the first one.
Answer: 0.474 eV/atom

Question: What is the energy relative to the elements, uncorrected in the first record?
Answer: 0.474 eV/atom

Please write out number 3 again, unchanged.
LiMnSi4 | PBE | optimized geometry

Results
* energy relative to the elements, uncorrected: 0.214 eV/atom
* final energy: -5.248 eV/atom
* space group: F-43m (216)
* crystal system: cubic
* total moment: 0.653 μB/atom

Unit cell a=4.993 b=4.993 c=4.993 alpha=60.00 beta=60.00 gamma=60.00
Element x y z (fractional)
Li: 0.000 0.000 0.000
Mn: 0.750 0.750 0.750
Si: 0.375 0.375 0.375
Si: 0.375 0.375 0.876
Si: 0.375 0.876 0.375
Si: 0.876 0.375 0.375

Copy entry 1 word for word.
CdPb2AuN | PBE | optimized geometry

Results
* energy relative to the elements, uncorrected: 0.474 eV/atom
* final energy: -3.513 eV/atom
* space group: P4/mmm (123)
* crystal system: tetragonal
* total moment: 0.000 μB/atom

Unit cell a=5.444 b=5.444 c=4.057 alpha=90.00 beta=90.00 gamma=90.00
Element x y z (fractional)
Cd: 0.000 0.000 0.000
Pb: 0.000 0.500 0.500
Pb: 0.500 0.000 0.500
Au: 0.500 0.500 0.000
N: 0.500 0.500 0.500